[1]
DFT (GGA-PBE) results for a relaxed Th2Si3PtRh4 crystal.

The structure in CIF format:
```
data_Th2Si3PtRh4
_chemical_formula_sum 'Th2 Si3 Pt1 Rh4'
_space_group_name_H-M_alt 'P -4 m 2'
_space_group_IT_number 115
_cell_length_a 4.032
_cell_length_b 4.032
_cell_length_c 11.035
_cell_angle_alpha 90.00
_cell_angle_beta 90.00
_cell_angle_gamma 90.00
loop_
_space_group_symop_operation_xyz
'x,y,z'
'y,-x,-z'
'-x,-y,z'
'-y,x,-z'
'-x,y,z'
'-y,-x,-z'
'x,-y,z'
'y,x,-z'
loop_
_atom_site_label
_atom_site_fract_x
_atom_site_fract_y
_atom_site_fract_z
_atom_site_occupancy
Th1 0.000 0.500 0.238 1
Si1 0.000 0.000 0.000 1
Si2 0.000 0.500 0.616 1
Pt1 0.500 0.500 0.000 1
Rh1 0.000 0.000 0.500 1
Rh2 0.000 0.500 0.829 1
Rh3 0.500 0.500 0.500 1
```

Output
ΔE_f (raw) ... -0.99 eV per atom



[2]
DFT (GGA-PBE) results for a relaxed RbBaSi4 crystal.

The structure in CIF format:
```
data_RbBaSi4
_chemical_formula_sum 'Rb4 Ba4 Si16'
_space_group_name_H-M_alt 'C m m m'
_space_group_IT_number 65
_space_group_name_Hall '-C 2 2'
_cell_length_a 9.148
_cell_length_b 13.098
_cell_length_c 5.486
_cell_angle_alpha 90.00
_cell_angle_beta 90.00
_cell_angle_gamma 90.00
loop_
_atom_site_label
_atom_site_fract_x
_atom_site_fract_y
_atom_site_fract_z
_atom_site_occupancy
Rb1 0.184 0.000 0.000 1
Ba1 0.000 0.288 0.000 1
Si1 0.000 0.092 0.500 1
Si2 0.125 0.500 0.500 1
Si3 0.241 0.159 0.500 1
```

Output
ΔE_f (raw) ... 0.01 eV per atom